#w
Material: Sr2ScCl
Method: DFT, GGA-PBE
State: relaxed

abc: 4.282 6.192 10.163
angles: 90.00 90.00 90.00
Space group Cmmm (No. 65)
Asymmetric unit:
1 Sr 0.000 0.000 0.226
2 Sc 0.000 0.500 0.500
3 Cl 0.000 0.500 0.000

Results
- Calculated density: 3.15 g cm⁻³
- Magnetization: 0.00 μB/cell



#x
Material: Sr2ScCl
Method: DFT, GGA-PBE
State: relaxed

abc: 3.976 3.788 9.885
angles: 90.00 90.11 90.00
Space group P2/m (No. 10)
Asymmetric unit:
1 Sr 0.001 0.000 0.260
2 Sc 0.500 0.500 0.000
3 Cl 0.000 0.500 0.500

Results
- Calculated density: 2.85 g cm⁻³
- Magnetization: 0.52 μB/cell



#y
Material: Sr2ScCl
Method: DFT, GGA-PBE
State: relaxed

abc: 3.672 6.504 11.698
angles: 90.00 90.00 90.00
Space group Imm2 (No. 44)
Asymmetric unit:
1 Sr 0.000 0.000 0.000
2 Sr 0.000 0.500 0.185
3 Sc 0.000 0.000 0.401
4 Cl 0.000 0.500 0.722

Results
- Calculated density: 3.04 g cm⁻³
- Magnetization: 2.27 μB/cell



#x is the most stable structure; the next one sits 16 meV per atom above it.



#w
Material: Sr2ScCl
Method: DFT, GGA-PBE
State: relaxed

abc: 3.887 7.122 11.219
angles: 90.00 90.00 90.00
Space group Immm (No. 71)
Asymmetric unit:
1 Sr 0.000 0.000 0.201
2 Sc 0.000 0.500 0.000
3 Cl 0.000 0.500 0.500

Results
- Calculated density: 2.73 g cm⁻³
- Magnetization: 3.32 μB/cell



#x
Material: Sr2ScCl
Method: DFT, GGA-PBE
State: relaxed

abc: 3.773 3.773 10.557
angles: 90.00 90.00 90.00
Space group P4mm (No. 99)
Asymmetric unit:
1 Sr 0.000 0.000 0.000
2 Sr 0.500 0.500 0.434
3 Sc 0.000 0.000 0.671
4 Cl 0.500 0.500 0.135

Results
- Calculated density: 2.82 g cm⁻³
- Magnetization: 1.62 μB/cell



#x is the most stable structure; the next one sits 72 meV per atom above it.



#w
Material: ScTaCl2
Method: DFT, GGA-PBE
State: relaxed

abc: 2.963 4.357 5.949
angles: 90.00 90.00 90.00
Space group Pmmm (No. 47)
Asymmetric unit:
1 Sc 0.000 0.000 0.000
2 Ta 0.500 0.000 0.500
3 Cl 0.000 0.500 0.500
4 Cl 0.500 0.500 0.000

Results
- Calculated density: 6.42 g cm⁻³
- Magnetization: 0.04 μB/cell



#x
Material: ScTaCl2
Method: DFT, GGA-PBE
State: relaxed

abc: 3.083 5.816 4.645
angles: 90.00 105.02 90.00
Space group Pm (No. 6)
Asymmetric unit:
1 Sc 0.000 0.000 0.000
2 Ta 0.639 0.500 0.886
3 Cl 0.639 0.000 0.447
4 Cl 0.975 0.500 0.441

Results
- Calculated density: 6.13 g cm⁻³
- Magnetization: 0.00 μB/cell



#y
Material: ScTaCl2
Method: DFT, GGA-PBE
State: relaxed

abc: 2.990 2.990 11.716
angles: 90.00 90.00 90.00
Space group P4/mmm (No. 123)
Asymmetric unit:
1 Sc 0.000 0.000 0.000
2 Ta 0.000 0.000 0.500
3 Cl 0.500 0.500 0.134

Results
- Calculated density: 4.71 g cm⁻³
- Magnetization: 0.32 μB/cell



#x is the most stable structure; the next one sits 73 meV per atom above it.



#w
Material: ScTaCl2
Method: DFT, GGA-PBE
State: relaxed

abc: 12.805 3.123 5.047
angles: 90.00 99.50 90.00
Space group C2/m (No. 12)
Asymmetric unit:
1 Sc 0.000 0.000 0.000
2 Ta 0.000 0.500 0.500
3 Cl 0.148 0.000 0.713

Results
- Calculated density: 4.95 g cm⁻³
- Magnetization: 0.00 μB/cell



#x
Material: ScTaCl2
Method: DFT, GGA-PBE
State: relaxed

abc: 3.686 5.017 9.561
angles: 90.00 90.00 90.00
Space group Cmm2 (No. 35)
Asymmetric unit:
1 Sc 0.000 0.000 0.000
2 Ta 0.000 0.500 0.240
3 Cl 0.000 0.000 0.427
4 Cl 0.000 0.500 0.817

Results
- Calculated density: 5.58 g cm⁻³
- Magnetization: 0.00 μB/cell



#x is the most stable structure; the next one sits 320 meV per atom above it.